1.
GGA-PBE GdTmAgRh, optimized geometry; V = 87 Å³ per cell; crystal system = cubic; DFT formation energy = -2.27 eV/f.u.; SG = No. 216
1.0
4.982 0.000 0.000
2.491 4.315 0.000
2.491 1.438 4.068
Gd Tm Rh Ag
1 1 1 1
direct
0.500 0.500 0.500
0.000 0.000 0.000
0.750 0.750 0.750
0.250 0.250 0.250

2.
GGA-PBE Gd3AgRu, optimized geometry; V = 151 Å³ per cell; crystal system = cubic; DFT formation energy = -0.36 eV/f.u.; SG = No. 221
1.0
-4.376 -2.793 -1.211
-1.172 -0.411 5.183
-2.809 4.521 -0.277
Ru Gd Ag
1 3 1
direct
0.000 0.000 0.000
0.000 0.500 0.000
0.000 0.000 0.500
0.500 0.000 0.000
0.500 0.500 0.500

Number 1: density of states at the Fermi level 3.3 states/eV per cell, energy -31.027 eV for the cell shown. Number 2: density of states at the Fermi level 4.0 states/eV per cell, energy -54.725 eV for the cell shown.